No. 1
The following is a DFT calculation (PBE) of a relaxed structure of Ca2La2Er.

a = 3.7205 Å, b = 3.7205 Å, c = 15.5780 Å
α = 90.00°, β = 90.00°, γ = 120.00°
Space group P-3m1 (No. 164)
Symmetry-distinct sites (fractional):
Ca 0.3333 0.6667 0.1052 x2
La 0.3333 0.6667 0.6838 x2
Er 0.0000 0.0000 0.5000 x1

Computed properties:
- Mass density: 4670 kg/m³
- DFT formation energy: 0.2 eV/f.u.
- Total magnetic moment: 0.00 μB per formula unit



No. 2
The following is a DFT calculation (PBE) of a relaxed structure of Dy2HoP3.

a = 4.0037 Å, b = 5.6551 Å, c = 11.9986 Å
α = 90.00°, β = 90.00°, γ = 90.00°
Space group Immm (No. 71)
Symmetry-distinct sites (fractional):
Dy 0.0000 0.0000 0.1667 x4
Ho 0.0000 0.0000 0.5000 x2
P 0.0000 0.5000 0.1660 x4
P 0.0000 0.5000 0.5000 x2

Computed properties:
- Mass density: 7125 kg/m³
- DFT formation energy: -9.7 eV/f.u.
- Total magnetic moment: 0.00 μB per formula unit



- Which formula does entry 2 have?
  Dy2HoP3



What did the first record say?
The following is a DFT calculation (PBE) of a relaxed structure of Ca2La2Er.

a = 3.7205 Å, b = 3.7205 Å, c = 15.5780 Å
α = 90.00°, β = 90.00°, γ = 120.00°
Space group P-3m1 (No. 164)
Symmetry-distinct sites (fractional):
Ca 0.3333 0.6667 0.1052 x2
La 0.3333 0.6667 0.6838 x2
Er 0.0000 0.0000 0.5000 x1

Computed properties:
- Mass density: 4670 kg/m³
- DFT formation energy: 0.2 eV/f.u.
- Total magnetic moment: 0.00 μB per formula unit



- What is the DFT formation energy in the first record?
  0.2 eV/f.u.



- Which of these has the lowest mass density?
  Ca2La2Er